The following is a DFT calculation (GGA-PBEsol) of a relaxed structure of AlPbW2.

Unit cell a=2.8708 b=4.4275 c=5.7169 alpha=90.00 beta=97.92 gamma=90.00
Atoms (fractional coordinates):
Al  0.0000  0.0000  0.0000
Pb  0.5000  0.0000  0.5000
W  0.3048  0.5000  0.7918
W  0.6952  0.5000  0.2082

Properties
Density of states at the Fermi level: 0.663 states/eV/atom
Distance to the lowest polymorph of the same formula: 83 meV per atom

---

The following is a DFT calculation (GGA-PBEsol) of a relaxed structure of CaCdRe2.

Unit cell a=5.5489 b=9.5841 c=2.6363 alpha=90.00 beta=90.00 gamma=90.00
Atoms (fractional coordinates):
Ca  0.0000  0.0000  0.0000
Ca  0.5000  0.5000  0.0000
Cd  0.0000  0.5000  0.0000
Cd  0.5000  0.0000  0.0000
Re  0.2500  0.2500  0.5000
Re  0.2500  0.7500  0.5000
Re  0.7500  0.2500  0.5000
Re  0.7500  0.7500  0.5000

Properties
Total DFT energy (no corrections): -6.7170 eV per atom
Density of states at the Fermi level: 0.649 states/eV/atom

---

The following is a DFT calculation (GGA-PBEsol) of a relaxed structure of K3MnTc.

Unit cell a=6.1640 b=6.1640 c=6.1640 alpha=90.00 beta=90.00 gamma=90.00
Atoms (fractional coordinates):
K  0.0000  0.0000  0.5000
K  0.0000  0.5000  0.0000
K  0.5000  0.0000  0.0000
Mn  0.5000  0.5000  0.5000
Tc  0.0000  0.0000  0.0000

Properties
Total DFT energy (no corrections): -3.0246 eV per atom
Density of states at the Fermi level: 2.380 states/eV/atom

---

The following is a DFT calculation (GGA-PBEsol) of a relaxed structure of CrRhW.

Unit cell a=3.0509 b=3.0509 c=8.8667 alpha=90.00 beta=90.00 gamma=90.00
Atoms (fractional coordinates):
Cr  0.0000  0.0000  0.0000
Cr  0.5000  0.5000  0.5000
Rh  0.0000  0.0000  0.6768
Rh  0.5000  0.5000  0.1768
W  0.0000  0.0000  0.3590
W  0.5000  0.5000  0.8590

Properties
Total DFT energy (no corrections): -10.5132 eV per atom
Density of states at the Fermi level: 1.462 states/eV/atom